Compound: Cs2ReSnCl6
Source: Alexandria via LeMat-Bulk
Functional: GGA-PBE
Structure: optimized geometry

Properties
Formation energy without anion corrections   -961 kJ/mol of formula units
Space-group type   No. 139
DFT total energy   -39.20 eV/cell
Calculated density   4.37 g/cm³
Crystal system   tetragonal

Cell: 7.495 7.495 7.491 Å, 59.98 59.98 90.00°
Each line ends with the local moment (μB).
Fractional positions:
Cs  0.750  0.250  0.500  0.00
Cl  0.769  0.769  0.000  -0.01
Sn  0.500  0.500  0.000  0.06
Re  0.000  0.000  0.000  -0.88
Cl  0.231  0.231  0.000  -0.01
Cl  0.769  0.231  0.000  -0.01
Cs  0.250  0.750  0.500  0.00
Cl  0.231  0.231  0.538  -0.01
Cl  0.231  0.769  0.000  -0.01
Cl  0.769  0.769  0.462  -0.01

Compound: Cs2ReTcCl
Source: Alexandria via LeMat-Bulk
Functional: GGA-PBE
Structure: optimized geometry

Properties
Formation energy without anion corrections   798 kJ/mol of formula units
Space-group type   No. 123
DFT total energy   -18.10 eV/cell
Calculated density   5.36 g/cm³
Crystal system   tetragonal

Cell: 6.418 4.407 6.418 Å, 90.00 90.00 90.00°
Each line ends with the local moment (μB).
Fractional positions:
Tc  0.000  0.000  0.000  1.28
Cl  0.000  0.500  0.000  0.03
Re  0.500  0.500  0.500  3.41
Cs  0.500  0.000  0.000  0.05
Cs  0.000  0.000  0.500  0.02

Compound: Cs2TiReCl6
Source: Alexandria via LeMat-Bulk
Functional: GGA-PBE
Structure: optimized geometry

Properties
Formation energy without anion corrections   -1022 kJ/mol of formula units
Space-group type   No. 139
DFT total energy   -43.72 eV/cell
Calculated density   4.63 g/cm³
Crystal system   tetragonal

Cell: 7.127 7.127 7.122 Å, 59.97 59.97 90.00°
Each line ends with the local moment (μB).
Fractional positions:
Cl  0.755  0.755  0.000  -0.01
Cl  0.755  0.245  0.000  -0.01
Cs  0.250  0.750  0.500  0.00
Re  0.000  0.000  0.000  -0.75
Ti  0.500  0.500  0.000  1.62
Cs  0.750  0.250  0.500  0.00
Cl  0.245  0.245  0.000  -0.01
Cl  0.755  0.755  0.490  -0.01
Cl  0.245  0.245  0.510  -0.01
Cl  0.245  0.755  0.000  -0.01

Compound: CsTlReCl6
Source: Alexandria via LeMat-Bulk
Functional: GGA-PBE
Structure: optimized geometry

Properties
Formation energy without anion corrections   -901 kJ/mol of formula units
Space-group type   No. 163
DFT total energy   -72.18 eV/cell
Calculated density   4.01 g/cm³
Crystal system   trigonal

Cell: 8.041 8.041 10.901 Å, 90.00 90.00 120.00°
Each line ends with the local moment (μB).
Fractional positions:
Tl  0.000  0.000  0.000  0.01
Cl  0.678  0.580  0.123  0.05
Cs  0.333  0.667  0.250  0.01
Tl  0.000  0.000  0.500  0.01
Cl  0.678  0.098  0.377  0.05
Cl  0.322  0.902  0.623  0.05
Cl  0.580  0.902  0.877  0.05
Cs  0.667  0.333  0.750  0.01
Cl  0.098  0.420  0.623  0.05
Re  0.333  0.667  0.750  2.21
Cl  0.420  0.322  0.377  0.05
Cl  0.580  0.678  0.623  0.05
Cl  0.420  0.098  0.123  0.05
Cl  0.902  0.580  0.377  0.05
Re  0.667  0.333  0.250  2.21
Cl  0.902  0.322  0.123  0.05
Cl  0.322  0.420  0.877  0.05
Cl  0.098  0.678  0.877  0.05

Compound: CsTl2ReCl8
Source: Alexandria via LeMat-Bulk
Functional: GGA-PBE
Structure: optimized geometry

Properties
Formation energy without anion corrections   -1128 kJ/mol of formula units
Space-group type   No. 2
DFT total energy   -44.50 eV/cell
Calculated density   4.11 g/cm³
Crystal system   triclinic

Cell: 6.115 7.528 9.597 Å, 89.96 90.01 112.39°
Each line ends with the local moment (μB).
Fractional positions:
Cs  0.000  0.000  0.500  0.01
Cl  0.957  0.207  0.827  0.04
Re  0.000  0.000  0.000  1.59
Tl  0.499  0.500  0.264  -0.02
Cl  0.955  0.206  0.173  0.04
Cl  0.403  0.179  0.000  0.02
Cl  0.043  0.793  0.173  0.04
Cl  0.045  0.794  0.827  0.04
Cl  0.393  0.700  0.500  -0.03
Tl  0.501  0.500  0.736  -0.02
Cl  0.607  0.300  0.500  -0.03
Cl  0.597  0.821  0.000  0.02

Compound: Cs2YReCl6
Source: Alexandria via LeMat-Bulk
Functional: GGA-PBE
Structure: optimized geometry

Properties
Formation energy without anion corrections   -1266 kJ/mol of formula units
Space-group type   No. 225
DFT total energy   -44.82 eV/cell
Calculated density   4.60 g/cm³
Crystal system   cubic

Cell: 7.274 7.274 7.274 Å, 60.00 60.00 90.00°
Fractional positions:
Cs  0.250  0.750  0.500
Cs  0.750  0.250  0.500
Re  0.000  0.000  0.000
Cl  0.241  0.759  0.000
Cl  0.241  0.241  0.519
Cl  0.759  0.759  0.481
Cl  0.241  0.241  0.000
Y  0.500  0.500  0.000
Cl  0.759  0.241  0.000
Cl  0.759  0.759  0.000

Compound: Cs2ZnReCl6
Source: Alexandria via LeMat-Bulk
Functional: GGA-PBE
Structure: optimized geometry

Properties
Formation energy without anion corrections   -1035 kJ/mol of formula units
Space-group type   No. 225
DFT total energy   -37.24 eV/cell
Calculated density   3.58 g/cm³
Crystal system   cubic

Cell: 7.823 7.823 7.824 Å, 60.00 60.00 90.00°
Each line ends with the local moment (μB).
Fractional positions:
Cl  0.784  0.784  0.432  0.04
Zn  0.500  0.500  0.000  -0.02
Cs  0.750  0.250  0.500  0.00
Re  0.000  0.000  0.000  2.28
Cl  0.216  0.216  0.000  0.04
Cl  0.216  0.784  0.000  0.04
Cl  0.784  0.216  0.000  0.04
Cl  0.216  0.216  0.568  0.04
Cs  0.250  0.750  0.500  0.00
Cl  0.784  0.784  0.000  0.04

Compound: CsZnReCl2
Source: Alexandria via LeMat-Bulk
Functional: GGA-PBE
Structure: optimized geometry

Properties
Formation energy without anion corrections   209 kJ/mol of formula units
Space-group type   No. 123
DFT total energy   -16.11 eV/cell
Calculated density   4.71 g/cm³
Crystal system   tetragonal

Cell: 4.741 7.147 4.741 Å, 90.00 90.00 90.00°
Each line ends with the local moment (μB).
Fractional positions:
Zn  0.500  0.500  0.500  -0.01
Re  0.000  0.000  0.000  0.17
Cl  0.500  0.000  0.000  0.02
Cl  0.000  0.000  0.500  0.00
Cs  0.000  0.500  0.000  0.00

Compound: CsRhCl5
Source: Alexandria via LeMat-Bulk
Functional: GGA-PBE
Structure: optimized geometry

Properties
Formation energy without anion corrections   -545 kJ/mol of formula units
Space-group type   No. 44
DFT total energy   -23.08 eV/cell
Calculated density   2.68 g/cm³
Crystal system   orthorhombic

Cell: 6.522 7.127 7.127 Å, 87.82 62.77 62.77°
Fractional positions:
Cl  0.006  0.500  0.500
Cl  0.371  0.796  0.796
Cl  0.963  0.204  0.204
Rh  0.659  0.500  0.500
Cl  0.429  0.667  0.333
Cs  0.674  0.000  0.000
Cl  0.429  0.333  0.667

Compound: Cs2RhCl
Source: Alexandria via LeMat-Bulk
Functional: GGA-PBE
Structure: optimized geometry

Properties
Formation energy without anion corrections   -54 kJ/mol of formula units
Space-group type   No. 122
DFT total energy   -22.94 eV/cell
Calculated density   3.91 g/cm³
Crystal system   tetragonal

Cell: 7.064 7.064 8.498 Å, 65.44 65.44 90.00°
Fractional positions:
Cl  0.250  0.750  0.500
Cs  0.875  0.950  0.750
Rh  0.750  0.250  0.500
Cs  0.700  0.125  0.250
Cl  0.500  0.500  0.000
Cs  0.050  0.625  0.250
Rh  0.000  0.000  0.000
Cs  0.375  0.300  0.750

Compound: Cs2RhCl4
Source: Alexandria via LeMat-Bulk
Functional: GGA-PBE
Structure: optimized geometry

Properties
Formation energy without anion corrections   -884 kJ/mol of formula units
Space-group type   No. 139
DFT total energy   -25.61 eV/cell
Calculated density   3.91 g/cm³
Crystal system   tetragonal

Cell: 5.081 5.081 9.125 Å, 73.83 73.83 90.00°
Fractional positions:
Cs  0.642  0.642  0.716
Cl  0.500  0.000  0.000
Cl  0.857  0.857  0.287
Cl  0.143  0.143  0.713
Cl  0.000  0.500  0.000
Rh  0.000  0.000  0.000
Cs  0.358  0.358  0.284

Compound: Cs3RhCl7
Source: Alexandria via LeMat-Bulk
Functional: GGA-PBE
Structure: optimized geometry

Properties
Formation energy without anion corrections   -1418 kJ/mol of formula units
Space-group type   No. 127
DFT total energy   -75.06 eV/cell
Calculated density   3.33 g/cm³
Crystal system   tetragonal

Cell: 7.286 10.134 10.134 Å, 90.00 90.00 90.00°
Each line ends with the local moment (μB).
Fractional positions:
Rh  0.000  0.500  0.000  0.60
Cl  0.228  0.885  0.615  0.05
Cs  0.500  0.679  0.821  0.00
Cl  0.000  0.664  0.836  0.04
Cl  0.772  0.615  0.115  0.05
Cs  0.500  0.821  0.321  0.00
Cl  0.000  0.336  0.164  0.04
Cl  0.228  0.385  0.885  0.05
Cl  0.000  0.164  0.664  0.04
Cl  0.228  0.615  0.115  0.05
Cs  0.000  0.500  0.500  0.00
Cl  0.772  0.885  0.615  0.05
Cs  0.500  0.179  0.679  0.00
Rh  0.000  0.000  0.500  0.60
Cl  0.000  0.836  0.336  0.04
Cs  0.500  0.321  0.179  0.00
Cl  0.772  0.385  0.885  0.05
Cl  0.500  0.000  0.000  0.12
Cs  0.000  0.000  0.000  0.00
Cl  0.772  0.115  0.385  0.05
Cl  0.228  0.115  0.385  0.05
Cl  0.500  0.500  0.500  0.12

> formation energy without anion corrections of number 10 (Cs2RhCl)?

-54 kJ/mol of formula units